# Eu2ZnCd

A relaxed structure of Eu2ZnCd (PBE-GGA, Alexandria via LeMat-Bulk).

Unit cell a=3.823 b=3.823 c=7.765 alpha=90.00 beta=90.00 gamma=90.00
Fractional positions:
Eu: 0.000 0.000 0.764
Eu: 0.000 0.000 0.236
Zn: 0.500 0.500 0.000
Cd: 0.500 0.500 0.500

The energy relative to the elements comes out at -0.31 eV/atom. The value obtained for the size of the total moment is 14.38 μB per cell. The energy above the most stable polymorph in this dataset comes out at 0 meV/atom. Its energy is -23.97 eV for the cell shown. For the mass density, the calculation gives 7.05 g cm⁻³.

=====

# EuZnCd

A relaxed structure of EuZnCd (PBE-GGA, Alexandria via LeMat-Bulk).

Unit cell a=3.668 b=3.668 c=6.199 alpha=107.21 beta=107.21 gamma=90.00
Fractional positions:
Eu: 0.957 0.957 0.913
Zn: 0.634 0.634 0.267
Cd: 0.260 0.260 0.519

The energy relative to the elements comes out at -0.20 eV/atom. The value obtained for the size of the total moment is 7.22 μB per cell. Its energy is -13.06 eV for the cell shown. For the mass density, the calculation gives 7.23 g cm⁻³.

=====

# EuZnCd2

A relaxed structure of EuZnCd2 (PBE-GGA, Alexandria via LeMat-Bulk).

Unit cell a=4.790 b=4.593 c=4.593 alpha=90.00 beta=90.00 gamma=90.00
Fractional positions:
Eu: 0.500 0.500 0.500
Zn: 0.500 0.000 0.000
Cd: 0.000 0.000 0.500
Cd: 0.000 0.500 0.000

The energy relative to the elements comes out at -0.17 eV/atom. The value obtained for the size of the total moment is 7.50 μB per cell. Its energy is -14.07 eV for the cell shown. For the mass density, the calculation gives 7.27 g cm⁻³.

=====

# Eu2ZnCd

A relaxed structure of Eu2ZnCd (PBE-GGA, Alexandria via LeMat-Bulk).

Unit cell a=3.925 b=3.925 c=9.822 alpha=78.47 beta=78.47 gamma=60.00
Fractional positions:
Eu: 0.256 0.256 0.233
Eu: 0.744 0.744 0.767
Zn: 0.000 0.000 0.000
Cd: 0.500 0.500 0.500

The energy relative to the elements comes out at -0.10 eV/atom. The value obtained for the size of the total moment is 15.46 μB per cell. The energy above the most stable polymorph in this dataset comes out at 206 meV/atom. Its energy is -23.15 eV for the cell shown. For the mass density, the calculation gives 6.27 g cm⁻³.

=====

# EuZrCd2

A relaxed structure of EuZrCd2 (PBE-GGA, Alexandria via LeMat-Bulk).

Unit cell a=3.593 b=3.593 c=7.899 alpha=90.00 beta=90.00 gamma=90.00
Fractional positions:
Eu: 0.500 0.500 0.500
Zr: 0.500 0.500 0.000
Cd: 0.000 0.000 0.783
Cd: 0.000 0.000 0.217

The energy relative to the elements comes out at -0.14 eV/atom. The value obtained for the size of the total moment is 7.35 μB per cell. The energy above the most stable polymorph in this dataset comes out at 0 meV/atom. Its energy is -21.21 eV for the cell shown. For the mass density, the calculation gives 7.62 g cm⁻³.

=====

# CdF2

A relaxed structure of CdF2 (PBE-GGA, Alexandria via LeMat-Bulk).

Unit cell a=3.677 b=5.895 c=7.133 alpha=90.00 beta=90.00 gamma=90.00
Fractional positions:
Cd: 0.250 0.243 0.600
Cd: 0.250 0.743 0.900
Cd: 0.750 0.757 0.400
Cd: 0.750 0.257 0.100
F: 0.250 0.137 0.914
F: 0.250 0.637 0.586
F: 0.750 0.863 0.086
F: 0.750 0.363 0.414
F: 0.250 0.005 0.343
F: 0.250 0.505 0.157
F: 0.750 0.995 0.657
F: 0.750 0.495 0.843

The value obtained for the size of the total moment is 0.00 μB per cell. The calculation puts the uncorrected formation energy at -2152.4 meV/atom. Its energy is -44.46 eV for the cell shown. For the mass density, the calculation gives 6.46 g cm⁻³.